This record from OQMD describes a geometry-optimized YTm2Tl3AgPt2 structure. The functional is PBE-GGA.

For the spin magnetization, the calculation gives 0.07 μB per cell. Its mass density is 12.6 g cm⁻³. As for the electronic total energy: -4.81 eV/atom. The crystal system is orthorhombic.

a b c (Å): 3.7322 13.7383 7.8855
angles (deg): 90.00 90.00 90.00
With the nearest neighbours (Å) after each atom.
Space group Amm2 (No. 38)
Asymmetric unit:
Y: 0.0000 0.0000 0.0000  4 Pt 3.06, 6 Tl 3.14-3.41, 1 Ag 3.23
Tm: 0.0000 0.2051 0.6139  4 Pt 3.02, 2 Tl 3.14, 1 Ag 3.24
Tl: 0.5000 0.0000 0.6803  2 Ag 2.83, 2 Pt 2.93, 2 Y 3.14
Tl: 0.5000 0.1356 0.2733  2 Ag 2.85, 2 Pt 2.89-2.92, 2 Tm 3.14
Ag: 0.0000 0.0000 0.4098  6 Tl 2.83-2.85
Pt: 0.5000 0.1688 0.9076  3 Tl 2.89-2.93, 4 Tm 3.02, 2 Y 3.06

---

This record from OQMD describes a geometry-optimized TmAgPt structure. The functional is PBE-GGA.

For the spin magnetization, the calculation gives 0.00 μB per cell. Its mass density is 11.4 g cm⁻³. As for the electronic total energy: -5.13 eV/atom. The crystal system is cubic. The calculation puts the formation energy at -0.68 eV/atom.

a b c (Å): 6.5107 6.5107 6.5107
angles (deg): 90.00 90.00 90.00
With the nearest neighbours (Å) after each atom.
Space group F-43m (No. 216)
Asymmetric unit:
Tm: 0.0000 0.0000 0.0000  4 Pt 2.82
Ag: 0.0000 0.0000 0.5000  4 Pt 2.82
Pt: 0.2500 0.2500 0.7500  4 Ag 2.82, 4 Tm 2.82

---

This record from OQMD describes a geometry-optimized TmAgPt structure. The functional is PBE-GGA.

For the spin magnetization, the calculation gives 0.01 μB per cell. Its mass density is 11.2 g cm⁻³. As for the electronic total energy: -4.83 eV/atom. The crystal system is cubic. The calculation puts the formation energy at -0.38 eV/atom.

a b c (Å): 6.5465 6.5465 6.5465
angles (deg): 90.00 90.00 90.00
With the nearest neighbours (Å) after each atom.
Space group F-43m (No. 216)
Asymmetric unit:
Tm: 0.0000 0.0000 0.0000  4 Pt 2.83, 4 Ag 2.83
Ag: 0.2500 0.2500 0.7500  4 Tm 2.83
Pt: 0.2500 0.2500 0.2500  4 Tm 2.83